No. 1
VASP calculation (PBE-GGA) on an optimized crystal structure of Se2SO.

Formation energy from raw total energies: 0.834 eV/atom
Magnetization: 0.00 μB/f.u.
Distance to the lowest polymorph of the same formula: 0.525 eV per atom

Cell lengths 6.2260, 6.2260, 6.2260 Å; angles 90.00, 90.00, 90.00 degrees
Last column: nearest neighbours and their distance in Å.
Fractional positions:
Se: 0.2500 0.2500 0.2500  4 O 2.70, 4 S 2.70
Se: 0.2500 0.2500 0.7500  4 O 2.70, 4 S 2.70
Se: 0.2500 0.7500 0.2500  4 O 2.70, 4 S 2.70
Se: 0.2500 0.7500 0.7500  4 O 2.70, 4 S 2.70
Se: 0.7500 0.2500 0.2500  4 O 2.70, 4 S 2.70
Se: 0.7500 0.2500 0.7500  4 O 2.70, 4 S 2.70
Se: 0.7500 0.7500 0.2500  4 O 2.70, 4 S 2.70
Se: 0.7500 0.7500 0.7500  4 S 2.70, 4 O 2.70
S: 0.0000 0.0000 0.0000  8 Se 2.70
S: 0.0000 0.5000 0.5000  8 Se 2.70
S: 0.5000 0.0000 0.5000  8 Se 2.70
S: 0.5000 0.5000 0.0000  8 Se 2.70
O: 0.0000 0.0000 0.5000  8 Se 2.70
O: 0.0000 0.5000 0.0000  8 Se 2.70
O: 0.5000 0.0000 0.0000  8 Se 2.70
O: 0.5000 0.5000 0.5000  8 Se 2.70

No. 2
VASP calculation (PBE-GGA) on an optimized crystal structure of Se2SO.

Formation energy from raw total energies: 0.604 eV/atom
Magnetization: 0.00 μB/f.u.
Distance to the lowest polymorph of the same formula: 0.296 eV per atom

Cell lengths 3.0763, 3.0763, 24.1286 Å; angles 90.00, 90.00, 120.00 degrees
Last column: nearest neighbours and their distance in Å.
Fractional positions:
Se: 0.0000 0.0000 0.0970  1 S 2.34, 3 O 2.44
Se: 0.0000 0.0000 0.9030  1 S 2.34, 3 O 2.44
Se: 0.3333 0.6667 0.5696  1 S 2.34, 3 O 2.44
Se: 0.3333 0.6667 0.7637  1 S 2.34, 3 O 2.44
Se: 0.6667 0.3333 0.2363  1 S 2.34, 3 O 2.44
Se: 0.6667 0.3333 0.4304  1 S 2.34, 3 O 2.44
S: 0.0000 0.0000 0.0000  2 Se 2.34
S: 0.3333 0.6667 0.6667  2 Se 2.34
S: 0.6667 0.3333 0.3333  2 Se 2.34
O: 0.0000 0.0000 0.5000  6 Se 2.44
O: 0.3333 0.6667 0.1667  6 Se 2.44
O: 0.6667 0.3333 0.8333  6 Se 2.44

No. 3
VASP calculation (PBE-GGA) on an optimized crystal structure of Se2S2O7.

Formation energy from raw total energies: -0.709 eV/atom
Magnetization: 0.00 μB/f.u.
Distance to the lowest polymorph of the same formula: 0.096 eV per atom

Cell lengths 6.5513, 6.5513, 10.4849 Å; angles 95.01, 95.01, 95.98 degrees
Last column: nearest neighbours and their distance in Å.
Fractional positions:
Se: 0.0051 0.2310 0.0597  1 O 1.66
Se: 0.2310 0.0051 0.5597  1 O 1.66
Se: 0.7690 0.9949 0.4403  1 O 1.66
Se: 0.9949 0.7690 0.9403  1 O 1.66
S: 0.2346 0.4447 0.6794  2 O 1.46-1.61
S: 0.4447 0.2346 0.1794  2 O 1.46-1.61
S: 0.5553 0.7654 0.8206  2 O 1.46-1.61
S: 0.7654 0.5553 0.3206  2 O 1.46-1.61
O: 0.0416 0.8711 0.0920  1 Se 1.66
O: 0.1289 0.9584 0.4080  1 Se 1.66
O: 0.1620 0.6223 0.6209  1 S 1.46
O: 0.2990 0.3126 0.0655  1 S 1.61
O: 0.3126 0.2990 0.5655  1 S 1.61
O: 0.3777 0.8380 0.8791  1 S 1.46
O: 0.4787 0.5213 0.7500  2 S 1.71
O: 0.5213 0.4787 0.2500  2 S 1.71
O: 0.6223 0.1620 0.1209  1 S 1.46
O: 0.6874 0.7010 0.4345  1 S 1.61
O: 0.7010 0.6874 0.9345  1 S 1.61
O: 0.8380 0.3777 0.3791  1 S 1.46
O: 0.8711 0.0416 0.5920  1 Se 1.66
O: 0.9584 0.1289 0.9080  1 Se 1.66